# PmPr6Er3Tm2

A relaxed structure of PmPr6Er3Tm2 (PBE-GGA, Alexandria via LeMat-Bulk).

Calculated values
M_tot: 0.0 Bohr magnetons per cell
D(E_F): 25.69 states/eV per cell

abc: 6.292 10.897 11.856
angles: 90.00 100.17 90.00
Space group C2/m (No. 12)
Symmetry-distinct sites (fractional):
Pm1 0.000 0.000 0.000 x2
Pr1 0.249 0.333 0.749 x8
Pr2 0.250 0.000 0.749 x4
Er1 0.000 0.167 0.500 x4
Er2 0.000 0.500 0.500 x2
Tm1 0.000 0.333 0.000 x4



# Pm2PrErTm2

A relaxed structure of Pm2PrErTm2 (PBE-GGA, Alexandria via LeMat-Bulk).

Calculated values
M_tot: 0.0 Bohr magnetons per cell
D(E_F): 18.35 states/eV per cell

abc: 7.010 9.829 5.643
angles: 90.00 90.00 90.00
Space group Pnnm (No. 58)
Symmetry-distinct sites (fractional):
Pm1 0.247 0.167 0.000 x4
Pr1 0.000 0.500 0.000 x2
Er1 0.000 0.000 0.500 x2
Tm1 0.250 0.333 0.500 x4



# PmPrEr2Tm5

A relaxed structure of PmPrEr2Tm5 (PBE-GGA, Alexandria via LeMat-Bulk).

Calculated values
M_tot: 0.0 Bohr magnetons per cell
D(E_F): 54.84 states/eV per cell

abc: 5.566 19.563 10.635
angles: 90.00 90.00 90.00
Space group Cmc2_1 (No. 36)
Symmetry-distinct sites (fractional):
Pm1 0.000 0.082 0.000 x4
Pr1 0.000 0.296 0.559 x4
Er1 0.000 0.387 0.868 x4
Er2 0.000 0.392 0.285 x4
Tm1 0.000 0.022 0.283 x4
Tm2 0.000 0.106 0.571 x4
Tm3 0.000 0.201 0.257 x4
Tm4 0.000 0.217 0.853 x4
Tm5 0.000 0.482 0.577 x4



# PmPr2ErTm4

A relaxed structure of PmPr2ErTm4 (PBE-GGA, Alexandria via LeMat-Bulk).

Calculated values
M_tot: 0.0 Bohr magnetons per cell
D(E_F): 40.09 states/eV per cell

abc: 12.358 7.140 12.290
angles: 90.00 109.55 90.00
Space group C2/m (No. 12)
Symmetry-distinct sites (fractional):
Pm1 0.000 0.000 0.000 x2
Pm2 0.000 0.000 0.500 x2
Pr1 0.000 0.500 0.000 x2
Pr2 0.000 0.500 0.500 x2
Pr3 0.250 0.250 0.000 x4
Er1 0.250 0.250 0.500 x4
Tm1 0.001 0.250 0.252 x8
Tm2 0.249 0.000 0.747 x4
Tm3 0.250 0.000 0.253 x4



# Pm6Pr2ErTm

A relaxed structure of Pm6Pr2ErTm (PBE-GGA, Alexandria via LeMat-Bulk).

Calculated values
M_tot: 0.0 Bohr magnetons per cell
D(E_F): 57.15 states/eV per cell

abc: 9.187 15.339 9.833
angles: 90.00 98.66 90.00
Space group C2/c (No. 15)
Symmetry-distinct sites (fractional):
Pm1 0.062 0.186 0.444 x8
Pm2 0.104 0.395 0.619 x8
Pm3 0.204 0.220 0.810 x8
Pr1 0.246 0.051 0.042 x8
Er1 0.000 0.019 0.750 x4
Tm1 0.000 0.408 0.250 x4



# PmPr2Er2Tm2

A relaxed structure of PmPr2Er2Tm2 (PBE-GGA, Alexandria via LeMat-Bulk).

Calculated values
M_tot: 0.0 Bohr magnetons per cell
D(E_F): 24.40 states/eV per cell

abc: 17.739 3.491 8.465
angles: 90.00 116.76 90.00
Space group C2/m (No. 12)
Symmetry-distinct sites (fractional):
Pm1 0.000 0.000 0.000 x2
Pr1 0.148 0.500 0.883 x4
Er1 0.071 0.500 0.405 x4
Tm1 0.211 0.000 0.302 x4



# Pm5Pr2ErTm

A relaxed structure of Pm5Pr2ErTm (PBE-GGA, Alexandria via LeMat-Bulk).

Calculated values
M_tot: 0.0 Bohr magnetons per cell
D(E_F): 52.42 states/eV per cell

abc: 8.571 8.571 16.802
angles: 90.00 90.00 90.00
Space group I4/mcm (No. 140)
Symmetry-distinct sites (fractional):
Pm1 0.000 0.000 0.000 x4
Pm2 0.220 0.280 0.144 x16
Pr1 0.123 0.377 0.500 x8
Er1 0.000 0.500 0.250 x4
Tm1 0.000 0.000 0.250 x4



# PmPr4Er2Tm2

A relaxed structure of PmPr4Er2Tm2 (PBE-GGA, Alexandria via LeMat-Bulk).

Calculated values
M_tot: 0.0 Bohr magnetons per cell
D(E_F): 21.55 states/eV per cell

abc: 17.515 3.637 9.685
angles: 90.00 101.51 90.00
Space group C2/m (No. 12)
Symmetry-distinct sites (fractional):
Pm1 0.000 0.000 0.000 x2
Pr1 0.016 0.500 0.327 x4
Pr2 0.181 0.000 0.251 x4
Er1 0.150 0.000 0.600 x4
Tm1 0.166 0.500 0.923 x4



no.,total DFT energy (no corrections) (eV/f.u.)
1,-55.883
2,-27.383
3,-39.539
4,-36.584
5,-45.945
6,-31.320
7,-39.910
8,-41.581